# 1
The following is a DFT calculation (PBE) of a geometry-optimized SiPbW3 structure.

```
SiPbW3
1.0
4.9894 0.0000 0.0000
0.0000 4.9894 0.0000
0.0000 0.0000 4.9894
Si Pb W
1 1 3
Cartesian
0.0000 0.0000 0.0000
2.4947 2.4947 2.4947
0.0000 2.4947 2.4947
2.4947 0.0000 2.4947
2.4947 2.4947 0.0000
```

As for the calculated volume: 124.2 Å³ per cell. For the formation energy without anion corrections, the calculation gives 3.40 eV per atom. The value obtained for the energy relative to the lowest polymorph listed for this composition is 2036 meV per atom.

---

# 2
The following is a DFT calculation (PBE) of a geometry-optimized CoAgB2 structure.

```
CoAgB2
1.0
0.0000 2.7026 2.7026
2.7026 0.0000 2.7026
2.7026 2.7026 0.0000
Co Ag B
1 1 2
Cartesian
0.0000 0.0000 0.0000
2.7026 2.7026 2.7026
1.3513 1.3513 1.3513
4.0540 4.0540 4.0540
```

As for the calculated volume: 39.5 Å³ per cell. The formation energy is 958 meV/atom. The value obtained for the energy relative to the lowest polymorph listed for this composition is 514 meV per atom.

---

# 3
The following is a DFT calculation (PBE) of a geometry-optimized Y2Al2Fe15 structure.

```
Y2Al2Fe15
1.0
4.1837 2.4155 4.1777
-4.1837 2.4155 4.1777
0.0000 -4.8309 4.1777
Y Al Fe
2 2 15
Cartesian
0.0000 0.0000 1.9191
0.0000 0.0000 10.6139
0.0000 0.0000 4.9912
0.0000 0.0000 7.5418
-2.0919 -1.2077 4.1777
0.0000 -2.4159 4.0839
-2.0922 1.2079 4.0839
-1.2554 -2.1743 6.2665
-2.5107 0.0000 6.2665
-2.0922 -1.2079 8.4491
-2.0918 1.2077 8.3553
1.2554 -2.1743 6.2665
0.0000 2.4155 4.1777
-1.2554 2.1743 6.2665
2.0922 1.2079 4.0839
2.5107 0.0000 6.2665
1.2554 2.1743 6.2665
2.0922 -1.2079 8.4491
0.0000 2.4159 8.4491
```

As for the calculated volume: 253.3 Å³ per cell. The formation energy is -91 meV/atom.

---

# 4
The following is a DFT calculation (PBE) of a geometry-optimized Hg3IrAu structure.

```
Hg3IrAu
1.0
5.2533 0.0000 0.0000
0.0000 5.2533 0.0000
0.0000 0.0000 5.2533
Hg Ir Au
3 1 1
Cartesian
0.0000 0.0000 2.6267
0.0000 2.6267 0.0000
2.6267 0.0000 0.0000
2.6267 2.6267 2.6267
0.0000 0.0000 0.0000
```

As for the calculated volume: 145.0 Å³ per cell. The formation energy is 1177 meV/atom. The value obtained for the energy relative to the lowest polymorph listed for this composition is 533 meV per atom.

---

# 5
The following is a DFT calculation (PBE) of a geometry-optimized LiTa2In structure.

```
LiTa2In
1.0
1.6589 -2.2943 0.0000
1.6589 2.2943 0.0000
0.0000 0.0000 10.0555
Li Ta In
1 2 1
Cartesian
0.0000 0.0000 0.0000
1.6589 0.0000 2.5542
1.6589 0.0000 7.5013
0.0000 0.0000 5.0277
```

As for the calculated volume: 76.5 Å³ per cell. The formation energy is 426 meV/atom.

---

# 6
The following is a DFT calculation (PBE) of a geometry-optimized ZnCo2As2 structure.

```
ZnCo2As2
1.0
6.7161 0.0000 0.0000
0.0000 6.7161 0.0000
0.0000 0.0000 3.0937
Zn Co As
2 4 4
Cartesian
0.0000 0.0000 0.0000
3.3580 3.3580 0.0000
0.9364 2.4217 0.0000
2.4217 5.7797 0.0000
4.2944 0.9364 0.0000
5.7797 4.2944 0.0000
1.0497 4.4077 1.5468
2.3084 1.0497 1.5468
4.4077 5.6664 1.5468
5.6664 2.3084 1.5468
```

As for the calculated volume: 139.5 Å³ per cell. The formation energy is 41 meV/atom.

---

# 7
The following is a DFT calculation (PBE) of a geometry-optimized Li2Pr2Si4Pd structure.

```
Li2Pr2Si4Pd
1.0
-3.0273 3.0273 4.4816
3.0273 -3.0273 4.4816
3.0273 3.0273 -4.4816
Li Pr Si Pd
2 2 4 1
Cartesian
0.0000 0.0000 1.9182
0.0000 0.0000 7.0451
3.0273 0.0000 2.2408
0.0000 3.0273 2.2408
1.2634 1.2634 0.0000
1.7639 -1.7639 4.4816
-1.7639 1.7639 4.4816
1.7639 1.7639 4.4816
0.0000 0.0000 4.4816
```

As for the calculated volume: 164.3 Å³ per cell. For the formation energy without anion corrections, the calculation gives -0.56 eV per atom.

---

# 8
The following is a DFT calculation (PBE) of a geometry-optimized Er8Si3SeS4 structure.

```
Er8Si3SeS4
1.0
3.9923 2.3049 6.4956
-3.9923 2.3049 6.4956
0.0000 -4.6099 6.4956
Er Si Se S
8 3 1 4
Cartesian
-2.0452 -1.1808 11.3557
0.0000 -2.3616 8.1312
-2.0452 1.1808 8.1312
0.0000 0.0000 4.8538
0.0000 0.0000 14.6331
2.0452 -1.1808 11.3557
0.0000 2.3616 11.3557
2.0452 1.1808 8.1312
-3.9923 0.0000 9.7434
-1.9961 1.1525 3.2478
1.9961 1.1525 3.2478
0.0000 0.0000 9.7434
0.0000 0.0000 0.0000
-1.9961 -1.1525 6.4956
-1.9961 1.1525 12.9913
0.0000 2.3049 6.4956
```

As for the calculated volume: 358.6 Å³ per cell. For the formation energy without anion corrections, the calculation gives -1.52 eV per atom.

---

# 9
The following is a DFT calculation (PBE) of a geometry-optimized MgAg2Te structure.

```
MgAg2Te
1.0
1.7046 0.9842 8.8419
-1.7046 0.9842 8.8419
0.0000 -1.9683 8.8419
Mg Ag Te
1 2 1
Cartesian
0.0000 0.0000 0.0000
0.0000 0.0000 6.8070
0.0000 0.0000 13.5281
0.0000 0.0000 19.9908
```

As for the calculated volume: 89.0 Å³ per cell. For the formation energy without anion corrections, the calculation gives 0.03 eV per atom. The value obtained for the energy relative to the lowest polymorph listed for this composition is 191 meV per atom.

---

# 10
The following is a DFT calculation (PBE) of a geometry-optimized Hf5ZrTe8 structure.

```
Hf5ZrTe8
1.0
11.0061 0.0000 0.0000
5.5008 9.5458 0.0000
0.0001 0.0004 15.7376
Hf Zr Te
20 4 32
Cartesian
0.0000 0.0000 0.0000
11.0060 0.0043 3.9224
11.0181 0.0256 11.7902
4.2362 7.0230 1.9462
4.2386 7.0217 9.8205
4.2403 7.0080 5.8877
4.2411 7.0212 13.7865
2.9025 2.3398 3.9207
2.9039 2.3325 7.8543
2.9023 2.3312 15.7168
8.9480 8.1977 7.8593
8.9589 8.2084 3.9090
8.9672 8.2000 0.0038
8.9665 8.2032 11.8008
11.7784 8.3716 1.9510
11.7925 8.3653 13.7575
11.7861 8.3697 5.8895
12.3321 4.7067 9.8254
12.3439 4.6911 1.9715
12.3480 4.6846 13.7677
0.0138 0.0026 7.8595
2.8970 2.3331 11.8181
11.7878 8.3612 9.8428
12.3516 4.7020 5.8769
4.1383 4.0537 9.8147
4.1592 4.0613 13.7879
4.1500 4.0387 1.9531
4.1777 4.0225 5.8850
2.1219 0.3388 1.9542
2.1169 0.3162 13.7771
2.1315 0.3340 5.8777
2.1371 0.3313 9.8319
6.3315 6.8010 11.8009
6.3374 6.7870 3.9164
6.3375 6.7547 7.8554
6.3498 6.7866 15.7371
5.4194 0.7597 7.8486
5.4364 0.7624 3.9178
5.4367 0.7626 11.8209
5.4385 0.7625 15.7229
9.7780 6.2524 9.8276
9.7941 6.2807 5.8840
9.8117 6.2569 1.9622
9.8129 6.2645 13.7681
8.9017 0.2385 1.9555
8.8959 0.2223 5.8766
8.9127 0.2367 9.8459
8.9141 0.2387 13.7637
13.1166 6.6893 15.7338
13.1306 6.6983 7.8556
13.1296 6.7084 3.9108
13.1408 6.6797 11.8096
11.0684 3.0090 11.7968
11.0914 2.9655 3.9098
11.0959 2.9850 15.7335
11.1020 2.9924 7.8720
```

As for the calculated volume: 1653.4 Å³ per cell. For the formation energy without anion corrections, the calculation gives -0.80 eV per atom.

---

# 11
The following is a DFT calculation (PBE) of a geometry-optimized SrPmEr2Se4 structure.

```
SrPmEr2Se4
1.0
7.2180 0.0000 0.0000
0.0000 4.1316 0.0000
-2.3550 0.0000 6.8478
Sr Pm Er Se
1 1 2 4
Cartesian
0.0000 0.0000 0.0000
3.6090 2.0658 0.0000
-1.1775 2.0658 3.4239
2.4315 0.0000 3.4239
0.0547 0.0000 5.0216
1.2373 2.0658 1.8455
3.6257 2.0658 5.0023
4.8084 0.0000 1.8261
```

As for the calculated volume: 204.2 Å³ per cell. For the formation energy without anion corrections, the calculation gives -1.80 eV per atom.

---

# 12
The following is a DFT calculation (PBE) of a geometry-optimized Rb2Ac2PbO6 structure.

```
Rb2Ac2PbO6
1.0
3.2457 -5.5704 0.0000
3.2457 5.5704 0.0000
-1.7580 0.0000 6.7940
Rb Ac Pb O
2 2 1 6
Cartesian
3.2457 3.8170 0.0000
3.2457 -3.8170 0.0000
2.3667 1.8360 3.3970
2.3667 -1.8360 3.3970
-0.8790 0.0000 3.3970
0.1144 1.7690 4.5516
0.9741 0.0000 2.1890
0.1144 -1.7690 4.5516
4.6189 1.7690 2.2425
3.7593 0.0000 4.6050
4.6189 -1.7690 2.2425
```

As for the calculated volume: 245.7 Å³ per cell. For the formation energy without anion corrections, the calculation gives -2.07 eV per atom.

---

# 13
The following is a DFT calculation (PBE) of a geometry-optimized BaHfS2O8 structure.

```
BaHfS2O8
1.0
5.5955 0.0000 0.0000
-2.7978 4.8459 0.0000
0.0000 0.0000 7.3989
Ba Hf S O
1 1 2 8
Cartesian
0.0000 0.0000 0.0000
0.0000 0.0000 3.6995
0.0000 3.2306 2.0933
2.7978 1.6153 5.3057
0.0000 1.6040 2.3763
-1.4086 4.0438 2.3763
1.3891 0.8020 5.0227
0.0000 3.2306 0.6052
2.7978 1.6153 6.7938
1.4086 4.0438 2.3763
4.2064 0.8020 5.0227
2.7978 3.2418 5.0227
```

As for the calculated volume: 200.6 Å³ per cell. For the formation energy without anion corrections, the calculation gives -1.83 eV per atom.

---

# 14
The following is a DFT calculation (PBE) of a geometry-optimized LiInPb structure.

```
LiInPb
1.0
3.0105 -5.1759 0.0000
3.0105 5.1759 0.0000
-1.8529 0.0000 4.8843
Li In Pb
2 2 2
Cartesian
0.0000 0.0000 0.0000
3.0105 -1.8606 0.0000
2.0840 3.5021 2.4421
3.0105 1.8110 0.0000
2.0840 -0.1227 2.4421
2.0840 -3.5225 2.4421
```

As for the calculated volume: 152.2 Å³ per cell. The formation energy is -138 meV/atom.

---

# 15
The following is a DFT calculation (PBE) of a geometry-optimized KClF3 structure.

```
KClF3
1.0
4.3982 0.0000 0.0000
0.0000 4.3982 0.0000
0.0000 0.0000 4.3982
K Cl F
1 1 3
Cartesian
0.0000 0.0000 0.0000
2.1991 2.1991 2.1991
0.0000 2.1991 2.1991
2.1991 0.0000 2.1991
2.1991 2.1991 0.0000
```

As for the calculated volume: 85.1 Å³ per cell. For the formation energy without anion corrections, the calculation gives -1.21 eV per atom. The value obtained for the energy relative to the lowest polymorph listed for this composition is 0 meV per atom.

---

# 16
The following is a DFT calculation (PBE) of a geometry-optimized NaCa2In6 structure.

```
NaCa2In6
1.0
7.6200 -4.4037 0.0000
7.6200 4.4037 0.0000
-0.0012 0.0000 3.6513
Na Ca In
1 2 6
Cartesian
0.0000 0.0000 0.0000
5.0779 0.0000 3.6511
10.1610 0.0000 0.0002
2.5362 1.4644 1.8202
12.7027 -1.4644 1.8311
2.5362 -1.4644 1.8202
7.6194 1.4699 1.8256
12.7027 1.4644 1.8311
7.6194 -1.4699 1.8256
```

As for the calculated volume: 245.0 Å³ per cell. The formation energy is -283 meV/atom.

---

# 17
The following is a DFT calculation (PBE) of a geometry-optimized Ce2PaZn8 structure.

```
Ce2PaZn8
1.0
-2.4521 3.0571 7.2264
2.4521 -3.0571 7.2264
2.4521 3.0571 -7.2264
Ce Pa Zn
2 1 8
Cartesian
0.0000 0.0000 2.7860
0.0000 0.0000 11.6668
0.0000 3.0571 0.0000
1.2258 0.0000 0.0000
3.6784 0.0000 0.0000
2.4521 1.7258 -1.6419
2.4521 0.0000 4.3334
2.4521 1.7258 1.6419
0.0000 1.3313 5.5845
0.0000 3.0571 2.8930
0.0000 1.3313 8.8683
```

As for the calculated volume: 216.7 Å³ per cell. The formation energy is -132 meV/atom.

---

# 18
The following is a DFT calculation (PBE) of a geometry-optimized TmZn3Ni2 structure.

```
TmZn3Ni2
1.0
2.9117 1.6811 6.3776
-2.9117 1.6811 6.3776
0.0000 -3.3621 6.3776
Tm Zn Ni
2 6 4
Cartesian
0.0000 0.0000 4.3195
0.0000 0.0000 14.8134
-1.4034 -0.8102 10.8594
0.0000 -1.6205 8.2735
-1.4034 0.8102 8.2735
1.4034 -0.8102 10.8594
0.0000 1.6205 10.8594
1.4034 0.8102 8.2735
0.0000 0.0000 0.0000
-1.4558 -0.8405 6.3776
-1.4558 0.8405 12.7553
0.0000 1.6811 6.3776
```

As for the calculated volume: 187.3 Å³ per cell. The formation energy is -138 meV/atom.

---

# 19
The following is a DFT calculation (PBE) of a geometry-optimized ZnGaRu3 structure.

```
ZnGaRu3
1.0
4.5469 0.0000 0.0000
0.0000 4.5469 0.0000
0.0000 0.0000 4.5469
Zn Ga Ru
1 1 3
Cartesian
0.0000 0.0000 0.0000
2.2734 2.2734 2.2734
0.0000 2.2734 2.2734
2.2734 0.0000 2.2734
2.2734 2.2734 0.0000
```

As for the calculated volume: 94.0 Å³ per cell. The formation energy is 1271 meV/atom. The value obtained for the energy relative to the lowest polymorph listed for this composition is 0 meV per atom.

---

# 20
The following is a DFT calculation (PBE) of a geometry-optimized KTe2SN structure.

```
KTe2SN
1.0
6.4156 0.0000 0.0000
0.0000 6.4156 0.0000
0.0000 0.0000 3.2733
K Te S N
1 2 1 1
Cartesian
0.0000 0.0000 0.0000
0.0000 3.2078 1.6367
3.2078 0.0000 1.6367
3.2078 3.2078 1.6367
3.2078 3.2078 0.0000
```

As for the calculated volume: 134.7 Å³ per cell. For the formation energy without anion corrections, the calculation gives 0.36 eV per atom. The value obtained for the energy relative to the lowest polymorph listed for this composition is 0 meV per atom.